Compound: Rb2CaTbF6
Source: Alexandria via LeMat-Bulk
Functional: PBE
Structure: optimized geometry

Output
The calculated total energy comes out at -5.26 eV/atom.

Cell lengths 6.366, 6.464, 6.470 Å; angles 61.93, 61.34, 61.28 degrees
Sites, in units of the cell vectors:
Rb 0.243 0.262 0.265
Rb 0.757 0.738 0.735
Ca 0.500 0.500 0.500
Tb 0.000 0.000 0.000
F 0.234 0.724 0.259
F 0.235 0.259 0.724
F 0.263 0.757 0.753
F 0.737 0.243 0.247
F 0.765 0.741 0.276
F 0.766 0.276 0.741

Compound: K4Pm6F19
Source: Alexandria via LeMat-Bulk
Functional: PBE
Structure: optimized geometry

Output
The calculated total energy comes out at -5.83 eV/atom.

Cell lengths 9.163, 9.163, 9.163 Å; angles 109.47, 109.47, 109.47 degrees
Sites, in units of the cell vectors:
K 0.000 0.000 0.729
K 0.000 0.729 0.000
K 0.271 0.271 0.271
K 0.729 0.000 0.000
Pm 0.165 0.665 0.500
Pm 0.335 0.500 0.835
Pm 0.500 0.165 0.665
Pm 0.500 0.835 0.335
Pm 0.665 0.500 0.165
Pm 0.835 0.335 0.500
F 0.000 0.000 0.000
F 0.000 0.345 0.345
F 0.000 0.655 0.655
F 0.033 0.292 0.692
F 0.258 0.967 0.658
F 0.292 0.692 0.033
F 0.308 0.600 0.342
F 0.342 0.308 0.600
F 0.345 0.000 0.345
F 0.345 0.345 0.000
F 0.400 0.708 0.742
F 0.600 0.342 0.308
F 0.655 0.000 0.655
F 0.655 0.655 0.000
F 0.658 0.258 0.967
F 0.692 0.033 0.292
F 0.708 0.742 0.400
F 0.742 0.400 0.708
F 0.967 0.658 0.258